No. 1
# NbPS2Br

A relaxed NbPS2Br crystal (PBE-GGA, Alexandria).

```
NbPS2Br
1.0
4.6976 0.0000 0.0000
0.0000 4.6976 0.0000
0.0000 0.0000 5.2139
S P Br Nb
2 1 1 1
Direct
0.5000 0.0000 0.0000 S
0.0000 0.5000 0.0000 S
0.0000 0.0000 0.5000 P
0.5000 0.5000 0.5000 Br
0.0000 0.0000 0.0000 Nb
```

Output
DOS(E_F): 0.83 states/eV/atom
excess energy over the best structure of this formula in the dataset: 0 meV/atom
formation energy without anion corrections: 5.2 kJ/mol of atoms


No. 2
# YNi3Pd

A relaxed YNi3Pd crystal (PBE-GGA, Alexandria).

```
YNi3Pd
1.0
-3.4541 2.9306 0.7352
-2.1378 -1.5815 -3.7402
-2.1351 -3.1576 2.5556
Pd Ni Y
1 3 1
Direct
0.5000 0.5000 0.5000 Pd
0.0000 0.0000 0.5000 Ni
0.0000 0.5000 0.0000 Ni
0.5000 0.0000 0.0000 Ni
0.0000 0.0000 0.0000 Y
```

Output
DOS(E_F): 0.71 states/eV/atom
excess energy over the best structure of this formula in the dataset: 807 meV/atom


No. 3
# SiSeN2F

A relaxed SiSeN2F crystal (PBE-GGA, Alexandria).

```
SiSeN2F
1.0
-0.6169 -2.1646 -3.0000
0.1710 -3.0549 2.1690
-3.4959 0.2081 0.5687
F N Se Si
1 2 1 1
Direct
0.0000 0.0000 0.5000 F
0.5000 0.0000 0.0000 N
0.0000 0.5000 0.0000 N
0.5000 0.5000 0.5000 Se
0.0000 0.0000 0.0000 Si
```

Output
DOS(E_F): 0.35 states/eV/atom
excess energy over the best structure of this formula in the dataset: 0 meV/atom
formation energy without anion corrections: 9.1 kJ/mol of atoms


No. 4
# ScHgPS2

A relaxed ScHgPS2 crystal (PBE-GGA, Alexandria).

```
ScHgPS2
1.0
-1.6239 -4.4115 -1.4272
2.5617 0.4069 -4.1723
3.8871 -2.1355 2.1783
S Sc P Hg
2 1 1 1
Direct
0.5000 0.0000 0.0000 S
0.0000 0.5000 0.0000 S
0.5000 0.5000 0.5000 Sc
0.0000 0.0000 0.5000 P
0.0000 0.0000 0.0000 Hg
```

Output
DOS(E_F): 0.97 states/eV/atom
excess energy over the best structure of this formula in the dataset: 542 meV/atom
formation energy without anion corrections: 47.6 kJ/mol of atoms


No. 5
# CaCeHo2

A relaxed CaCeHo2 crystal (PBE-GGA, Alexandria).

```
CaCeHo2
1.0
3.5956 0.0000 0.0000
0.0000 3.5956 0.0000
0.0000 0.0000 10.1001
Ho Ce Ca
2 1 1
Direct
0.0000 0.0000 0.7764 Ho
0.0000 0.0000 0.2236 Ho
0.5000 0.5000 0.0000 Ce
0.5000 0.5000 0.5000 Ca
```

Output
DOS(E_F): 1.72 states/eV/atom
excess energy over the best structure of this formula in the dataset: 6 meV/atom


No. 6
# RbNa12Au6

A relaxed RbNa12Au6 crystal (PBE-GGA, Alexandria).

```
RbNa12Au6
1.0
8.6215 0.0008 0.0011
-2.1364 8.3526 0.0011
-2.1364 -2.7518 7.8863
Na Au Rb
12 6 1
Direct
0.5000 0.1210 0.8790 Na
0.1210 0.8790 0.5000 Na
0.4402 0.4402 0.1713 Na
0.8790 0.1210 0.5000 Na
0.1713 0.4402 0.4402 Na
0.5598 0.5598 0.8287 Na
0.5000 0.8790 0.1210 Na
0.8790 0.5000 0.1210 Na
0.5598 0.8287 0.5598 Na
0.4402 0.1713 0.4402 Na
0.1210 0.5000 0.8790 Na
0.8287 0.5598 0.5598 Na
0.3027 0.7475 0.7475 Au
0.2525 0.2525 0.6973 Au
0.7475 0.3027 0.7475 Au
0.7475 0.7475 0.3027 Au
0.2525 0.6973 0.2525 Au
0.6973 0.2525 0.2525 Au
0.0000 0.0000 0.0000 Rb
```

Output
DOS(E_F): 0.34 states/eV/atom


No. 7
# BaZn2H2

A relaxed BaZn2H2 crystal (PBE-GGA, Alexandria).

```
BaZn2H2
1.0
4.3625 0.0000 0.0000
0.0000 4.3625 0.0000
2.1812 2.1812 4.5220
Zn H Ba
2 2 1
Direct
0.6487 0.6487 0.7027 Zn
0.3513 0.3513 0.2973 Zn
0.2500 0.7500 0.5000 H
0.7500 0.2500 0.5000 H
0.0000 0.0000 0.0000 Ba
```

Output
DOS(E_F): 0.47 states/eV/atom


No. 8
# CePuPtPb

A relaxed CePuPtPb crystal (PBE-GGA, Alexandria).

```
CePuPtPb
1.0
5.2684 0.0000 0.0000
2.6342 4.5626 0.0000
2.6342 1.5209 4.3017
Pu Ce Pt Pb
1 1 1 1
Direct
0.5000 0.5000 0.5000 Pu
0.0000 0.0000 0.0000 Ce
0.7500 0.7500 0.7500 Pt
0.2500 0.2500 0.2500 Pb
```

Output
DOS(E_F): 3.69 states/eV/atom


Q: Which final energy values were calculated for the entries above? A: -5.028 -4.484 -5.391 -3.566 -4.178 -2.121 -2.092 -7.916, in eV per atom.